[1]
DFT (PBE-GGA) results for a relaxed NaTmUS4 crystal.

a = 8.003 Å, b = 8.218 Å, c = 11.379 Å
α = 90.00°, β = 90.00°, γ = 90.00°
Space group Imma (No. 74)
One atom of each set of equivalent atoms:
Na  0.000  0.250  0.132 [4 per cell]
Tm  0.250  0.250  0.750 [4 per cell]
U  0.000  0.000  0.500 [4 per cell]
S  0.000  0.028  0.736 [8 per cell]
S  0.223  0.250  0.511 [8 per cell]

Properties
Formation energy (no corrections), eV/atom: -1.618
Magnetic moment, μB per cell: 8.00
Uncorrected energy, eV/atom: -6.4167

[2]
DFT (PBE-GGA) results for a relaxed Na4Tm3US8 crystal.

a = 7.8981 Å, b = 7.8981 Å, c = 20.0606 Å
α = 90.00°, β = 90.00°, γ = 120.00°
Space group R-3m (No. 166, hexagonal axes)
One atom of each set of equivalent atoms:
Na  0.0000  0.0000  0.0000 [3 per cell]
Na  0.0000  0.5000  0.0000 [9 per cell]
Tm  0.0000  0.5000  0.5000 [9 per cell]
U  0.0000  0.0000  0.5000 [3 per cell]
S  0.0000  0.0000  0.2413 [6 per cell]
S  0.0042  0.5021  0.7579 [18 per cell]

Properties
Formation energy (no corrections), eV/atom: -1.706
Magnetic moment, μB per cell: 9.02
Uncorrected energy, eV/atom: -5.6432

[3]
DFT (PBE-GGA) results for a relaxed Na4Y3TmS8 crystal.

a = 7.9488 Å, b = 7.9488 Å, c = 20.0463 Å
α = 90.00°, β = 90.00°, γ = 120.00°
Space group R-3m (No. 166, hexagonal axes)
One atom of each set of equivalent atoms:
Na  0.0000  0.0000  0.0000 [3 per cell]
Na  0.0000  0.5000  0.0000 [9 per cell]
Y  0.0000  0.5000  0.5000 [9 per cell]
Tm  0.0000  0.0000  0.5000 [3 per cell]
S  0.0000  0.0000  0.2425 [6 per cell]
S  0.0033  0.5017  0.2419 [18 per cell]

Properties
Formation energy (no corrections), eV/atom: -1.853
Magnetic moment, μB per cell: 0.00
Uncorrected energy, eV/atom: -5.7377

[4]
DFT (PBE-GGA) results for a relaxed NaY2TmS4 crystal.

a = 6.793 Å, b = 3.895 Å, c = 6.794 Å
α = 90.00°, β = 109.08°, γ = 90.00°
Space group P2/m (No. 10)
One atom of each set of equivalent atoms:
Na  0.000  0.000  0.000 [1 per cell]
Y  0.500  0.000  0.500 [1 per cell]
Y  0.500  0.500  0.000 [1 per cell]
Tm  0.000  0.500  0.500 [1 per cell]
S  0.245  0.000  0.745 [2 per cell]
S  0.252  0.500  0.256 [2 per cell]

Properties
Formation energy (no corrections), eV/atom: -1.909
Magnetic moment, μB per cell: 0.00
Uncorrected energy, eV/atom: -6.3122

[5]
DFT (PBE-GGA) results for a relaxed NaYTm4S8 crystal.

a = 7.9958 Å, b = 7.9958 Å, c = 19.7286 Å
α = 90.00°, β = 90.00°, γ = 120.00°
Space group R3m (No. 160, hexagonal axes)
One atom of each set of equivalent atoms:
Na  0.0000  0.0000  0.0000 [3 per cell]
Y  0.0000  0.0000  0.6306 [3 per cell]
Tm  0.0000  0.0000  0.2515 [3 per cell]
Tm  0.1728  0.3457  0.4579 [9 per cell]
S  0.0000  0.0000  0.3842 [3 per cell]
S  0.0000  0.0000  0.8645 [3 per cell]
S  0.0278  0.5139  0.3811 [9 per cell]
S  0.1763  0.3526  0.2058 [9 per cell]

Properties
Formation energy (no corrections), eV/atom: -1.959
Magnetic moment, μB per cell: 0.00
Uncorrected energy, eV/atom: -6.1511

[6]
DFT (PBE-GGA) results for a relaxed NaTm4ZrS8 crystal.

a = 7.9895 Å, b = 7.9895 Å, c = 19.0782 Å
α = 90.00°, β = 90.00°, γ = 120.00°
Space group R3m (No. 160, hexagonal axes)
One atom of each set of equivalent atoms:
Na  0.0000  0.0000  0.0000 [3 per cell]
Tm  0.0000  0.0000  0.7534 [3 per cell]
Tm  0.0114  0.5057  0.8781 [9 per cell]
Zr  0.0000  0.0000  0.3716 [3 per cell]
S  0.0000  0.0000  0.1375 [3 per cell]
S  0.0000  0.0000  0.6190 [3 per cell]
S  0.0262  0.5131  0.1278 [9 per cell]
S  0.1834  0.3669  0.9604 [9 per cell]

Properties
Formation energy (no corrections), eV/atom: -1.826
Magnetic moment, μB per cell: 0.93
Uncorrected energy, eV/atom: -6.1665

[7]
DFT (PBE-GGA) results for a relaxed Na3Tm2ZrS6 crystal.

a = 6.666 Å, b = 11.545 Å, c = 7.073 Å
α = 90.00°, β = 108.33°, γ = 90.00°
Space group C2/m (No. 12)
One atom of each set of equivalent atoms:
Na  0.000  0.000  0.000 [2 per cell]
Na  0.000  0.332  0.000 [4 per cell]
Tm  0.000  0.167  0.500 [4 per cell]
Zr  0.000  0.500  0.500 [2 per cell]
S  0.238  0.338  0.725 [8 per cell]
S  0.250  0.000  0.725 [4 per cell]

Properties
Formation energy (no corrections), eV/atom: -1.702
Magnetic moment, μB per cell: 0.00
Uncorrected energy, eV/atom: -5.5533

[8]
DFT (PBE-GGA) results for a relaxed Na3Tm3ZrS8 crystal.

a = 7.7633 Å, b = 7.7633 Å, c = 20.2547 Å
α = 90.00°, β = 90.00°, γ = 120.00°
Space group R-3m (No. 166, hexagonal axes)
One atom of each set of equivalent atoms:
Na  0.0000  0.5000  0.0000 [9 per cell]
Tm  0.0000  0.5000  0.5000 [9 per cell]
Zr  0.0000  0.0000  0.5000 [3 per cell]
S  0.0000  0.0000  0.2412 [6 per cell]
S  0.0120  0.5060  0.2387 [18 per cell]

Properties
Formation energy (no corrections), eV/atom: -1.790
Magnetic moment, μB per cell: 0.00
Uncorrected energy, eV/atom: -5.7196

[9]
DFT (PBE-GGA) results for a relaxed NaUS4 crystal.

a = 12.312 Å, b = 4.064 Å, c = 7.120 Å
α = 90.00°, β = 115.54°, γ = 90.00°
Space group C2/m (No. 12)
One atom of each set of equivalent atoms:
Na  0.000  0.000  0.000 [2 per cell]
U  0.000  0.500  0.500 [2 per cell]
S  0.117  0.000  0.449 [4 per cell]
S  0.132  0.500  0.873 [4 per cell]

Properties
Formation energy (no corrections), eV/atom: -0.833
Magnetic moment, μB per cell: 1.07
Uncorrected energy, eV/atom: -5.6855

[10]
DFT (PBE-GGA) results for a relaxed Na2US4 crystal.

a = 8.105 Å, b = 11.673 Å, c = 4.050 Å
α = 90.00°, β = 90.00°, γ = 90.00°
Space group Pbam (No. 55)
One atom of each set of equivalent atoms:
Na  0.244  0.247  0.000 [4 per cell]
U  0.000  0.500  0.500 [2 per cell]
S  0.005  0.712  0.500 [4 per cell]
S  0.205  0.498  0.000 [4 per cell]

Properties
Formation energy (no corrections), eV/atom: -1.198
Magnetic moment, μB per cell: 0.00
Uncorrected energy, eV/atom: -5.5461

[11]
DFT (PBE-GGA) results for a relaxed NaUS3 crystal.

a = 6.7942 Å, b = 6.7942 Å, c = 20.1638 Å
α = 90.00°, β = 90.00°, γ = 120.00°
Space group R32 (No. 155, hexagonal axes)
One atom of each set of equivalent atoms:
Na  0.0000  0.0000  0.1372 [6 per cell]
U  0.0000  0.0000  0.3349 [6 per cell]
S  0.0038  0.4118  0.9190 [18 per cell]

Properties
Formation energy (no corrections), eV/atom: -1.164
Magnetic moment, μB per cell: 6.00
Uncorrected energy, eV/atom: -6.1618

[12]
DFT (PBE-GGA) results for a relaxed Na2U2S5 crystal.

a = 5.488 Å, b = 16.524 Å, c = 5.420 Å
α = 90.00°, β = 90.00°, γ = 90.00°
Space group Cmmm (No. 65)
One atom of each set of equivalent atoms:
Na  0.000  0.159  0.000 [4 per cell]
U  0.000  0.344  0.500 [4 per cell]
S  0.000  0.176  0.500 [4 per cell]
S  0.000  0.341  0.000 [4 per cell]
S  0.000  0.500  0.500 [2 per cell]

Properties
Formation energy (no corrections), eV/atom: -1.255
Magnetic moment, μB per cell: 8.00
Uncorrected energy, eV/atom: -6.3500